VASP calculation (PBE+U) on a relaxed Na2SnWO6 crystal.

Computed properties:
The size of the total moment comes out at 0.000 μB/cell. Its total energy is -0.230 hartree per atom.

```
data_Na2SnWO6
_chemical_formula_sum 'Na4 Sn2 W2 O12'
_cell_length_a 5.5117
_cell_length_b 5.5880
_cell_length_c 9.5940
_cell_angle_alpha 90.00
_cell_angle_beta 125.04
_cell_angle_gamma 90.00
_space_group_name_H-M_alt 'P 1 21/c 1'
_space_group_IT_number 14
loop_
_space_group_symop_operation_xyz
'x,y,z'
'-x,-y,-z'
'-x,y+1/2,-z+1/2'
'x,-y+1/2,z+1/2'
loop_
_atom_site_label
_atom_site_fract_x
_atom_site_fract_y
_atom_site_fract_z
Na1 0.2442 0.0300 0.2504
Sn1 0.5000 0.0000 0.0000
W1 0.0000 0.0000 0.5000
O1 0.1589 0.2180 0.9591
O2 0.2441 0.7020 0.9611
O3 0.3195 0.0174 0.7417
```